Below is a relaxed structure of Ho7Tc2Hg2, with properties calculated at the GGA-PBE level.

a b c (Å): 6.5919 7.5183 6.5919
angles (deg): 90.00 113.25 90.00
Atoms (fractional coordinates):
1 Ho 0.0000 0.2680 0.5000
2 Ho 0.5000 0.7320 0.0000
3 Ho 0.0000 0.7320 0.5000
4 Ho 0.5000 0.2680 0.0000
5 Ho 0.0000 0.0000 0.0000
6 Ho 0.5000 0.7762 0.5000
7 Ho 0.5000 0.2238 0.5000
8 Tc 0.7003 0.0000 0.2997
9 Tc 0.2997 0.0000 0.7003
10 Hg 0.8086 0.5000 0.8086
11 Hg 0.1914 0.5000 0.1914

Results
The calculation puts the raw total energy at -54.4 eV per formula unit. Its space group is Cmmm.